# 1
# NaLi3Cd3

Crystalline NaLi3Cd3 at its relaxed geometry (PBE, Alexandria).

CIF file:
```
data_NaLi3Cd3
_chemical_formula_sum 'Na2 Li6 Cd6'
_cell_length_a 7.444
_cell_length_b 7.444
_cell_length_c 7.444
_cell_angle_alpha 90.00
_cell_angle_beta 90.00
_cell_angle_gamma 90.00
_symmetry_space_group_name_H-M 'P m -3 n'
_symmetry_Int_Tables_number 223
_symmetry_space_group_name_Hall '-P 4n 2 3'
loop_
_atom_site_label
_atom_site_fract_x
_atom_site_fract_y
_atom_site_fract_z
_atom_site_occupancy
Na1 0.000 0.000 0.000 1
Li1 0.000 0.250 0.500 1
Cd1 0.000 0.500 0.250 1
```

Summary:
Total moment: 0.00 μB per formula unit

# 2
# Na6LiCd

Crystalline Na6LiCd at its relaxed geometry (PBE, Alexandria).

CIF file:
```
data_Na6LiCd
_chemical_formula_sum 'Na6 Li1 Cd1'
_cell_length_a 6.300
_cell_length_b 6.303
_cell_length_c 6.304
_cell_angle_alpha 90.04
_cell_angle_beta 91.08
_cell_angle_gamma 91.07
_symmetry_space_group_name_H-M 'P -1'
_symmetry_Int_Tables_number 2
loop_
_symmetry_equiv_pos_as_xyz
'x,y,z'
'-x,-y,-z'
loop_
_atom_site_label
_atom_site_fract_x
_atom_site_fract_y
_atom_site_fract_z
_atom_site_occupancy
Na1 0.000 0.000 0.247 1
Na2 0.253 0.500 0.000 1
Na3 0.500 0.247 0.500 1
Li1 0.000 0.500 0.500 1
Cd1 0.500 0.000 0.000 1
```

Summary:
Total moment: 0.00 μB per formula unit
Energy relative to the lowest polymorph listed for this composition: 22 meV/atom

# 3
# NaLi4Cd

Crystalline NaLi4Cd at its relaxed geometry (PBE, Alexandria).

CIF file:
```
data_NaLi4Cd
_chemical_formula_sum 'Na1 Li4 Cd1'
_cell_length_a 3.336
_cell_length_b 3.676
_cell_length_c 10.698
_cell_angle_alpha 90.00
_cell_angle_beta 91.33
_cell_angle_gamma 90.00
_symmetry_space_group_name_H-M 'P 1 2/m 1'
_symmetry_Int_Tables_number 10
loop_
_symmetry_equiv_pos_as_xyz
'x,y,z'
'-x,-y,-z'
'-x,y,-z'
'x,-y,z'
loop_
_atom_site_label
_atom_site_fract_x
_atom_site_fract_y
_atom_site_fract_z
_atom_site_occupancy
Na1 0.000 0.000 0.000 1
Li1 0.001 0.000 0.638 1
Li2 0.498 0.500 0.214 1
Cd1 0.500 0.500 0.500 1
```

Summary:
Total moment: 0.00 μB per formula unit
Energy relative to the lowest polymorph listed for this composition: 0 meV/atom

# 4
# NaLi8Cd2

Crystalline NaLi8Cd2 at its relaxed geometry (PBE, Alexandria).

CIF file:
```
data_NaLi8Cd2
_chemical_formula_sum 'Na2 Li16 Cd4'
_cell_length_a 15.965
_cell_length_b 4.180
_cell_length_c 7.026
_cell_angle_alpha 90.00
_cell_angle_beta 106.83
_cell_angle_gamma 90.00
_symmetry_space_group_name_H-M 'C 1 2/m 1'
_symmetry_Int_Tables_number 12
loop_
_symmetry_equiv_pos_as_xyz
'x,y,z'
'-x,-y,-z'
'-x,y,-z'
'x,-y,z'
'x+1/2,y+1/2,z'
'-x+1/2,-y+1/2,-z'
'-x+1/2,y+1/2,-z'
'x+1/2,-y+1/2,z'
loop_
_atom_site_label
_atom_site_fract_x
_atom_site_fract_y
_atom_site_fract_z
_atom_site_occupancy
Na1 0.000 0.000 0.000 1
Li1 0.051 0.500 0.708 1
Li2 0.101 0.000 0.464 1
Li3 0.149 0.500 0.206 1
Li4 0.189 0.000 0.912 1
Cd1 0.226 0.500 0.644 1
```

Summary:
Total moment: 0.00 μB per formula unit

# 5
# Na2LiCd2

Crystalline Na2LiCd2 at its relaxed geometry (PBE, Alexandria).

CIF file:
```
data_Na2LiCd2
_chemical_formula_sum 'Na4 Li2 Cd4'
_cell_length_a 8.940
_cell_length_b 8.940
_cell_length_c 3.368
_cell_angle_alpha 90.00
_cell_angle_beta 90.00
_cell_angle_gamma 90.00
_symmetry_space_group_name_H-M 'P 4/m b m'
_symmetry_Int_Tables_number 127
_symmetry_space_group_name_Hall '-P 4 2ab'
loop_
_atom_site_label
_atom_site_fract_x
_atom_site_fract_y
_atom_site_fract_z
_atom_site_occupancy
Na1 0.133 0.367 0.000 1
Li1 0.000 0.000 0.000 1
Cd1 0.166 0.666 0.500 1
```

Summary:
Total moment: 0.00 μB per formula unit
Energy relative to the lowest polymorph listed for this composition: 138 meV/atom

# 6
# Na14LiCd

Crystalline Na14LiCd at its relaxed geometry (PBE, Alexandria).

CIF file:
```
data_Na14LiCd
_chemical_formula_sum 'Na28 Li2 Cd2'
_cell_length_a 11.852
_cell_length_b 7.220
_cell_length_c 12.618
_cell_angle_alpha 90.00
_cell_angle_beta 90.00
_cell_angle_gamma 90.00
_symmetry_space_group_name_H-M 'A m m 2'
_symmetry_Int_Tables_number 38
loop_
_symmetry_equiv_pos_as_xyz
'x,y,z'
'-x,-y,z'
'-x,y,z'
'x,-y,z'
'x,y+1/2,z+1/2'
'-x,-y+1/2,z+1/2'
'-x,y+1/2,z+1/2'
'x,-y+1/2,z+1/2'
loop_
_atom_site_label
_atom_site_fract_x
_atom_site_fract_y
_atom_site_fract_z
_atom_site_occupancy
Na1 0.000 0.000 0.000 1
Na2 0.000 0.000 0.499 1
Na3 0.000 0.248 0.246 1
Na4 0.250 0.000 0.831 1
Na5 0.259 0.000 0.329 1
Na6 0.269 0.248 0.087 1
Na7 0.500 0.249 0.913 1
Li1 0.500 0.000 0.669 1
Cd1 0.500 0.000 0.168 1
```

Summary:
Total moment: 0.00 μB per formula unit

Raw total energy (computed, eV per atom): -1.21; -1.33; -1.72; -1.77; -1.25; -1.32